[1]
CrN2 | PBE-GGA | relaxed

Cell and atoms, written as CIF:
```
data_CrN2
_chemical_formula_sum 'Cr16 N32'
_cell_length_a 7.798
_cell_length_b 13.433
_cell_length_c 7.783
_cell_angle_alpha 90.00
_cell_angle_beta 119.34
_cell_angle_gamma 90.00
_symmetry_space_group_name_H-M 'C 1 2/c 1'
_symmetry_Int_Tables_number 15
loop_
_symmetry_equiv_pos_as_xyz
'x,y,z'
'-x,-y,-z'
'-x,y,-z+1/2'
'x,-y,z+1/2'
'x+1/2,y+1/2,z'
'-x+1/2,-y+1/2,-z'
'-x+1/2,y+1/2,-z+1/2'
'x+1/2,-y+1/2,z+1/2'
loop_
_atom_site_label
_atom_site_type_symbol
_atom_site_fract_x
_atom_site_fract_y
_atom_site_fract_z
_atom_site_occupancy
Cr1 Cr 0.000 0.158 0.032 1
Cr2 Cr 0.144 0.394 0.075 1
N1 N 0.000 0.131 0.250 1
N2 N 0.000 0.500 0.000 1
N3 N 0.004 0.285 0.011 1
N4 N 0.206 0.110 0.673 1
N5 N 0.207 0.112 0.031 1
```

Results
The value obtained for the total moment is 0.00 μB per formula unit. The mass density is 3.0 g cm⁻³. Its total DFT energy (no corrections) is -8.6138 eV per atom.

---

[2]
Ta4Rh | PBE-GGA | relaxed

Cell and atoms, written as CIF:
```
data_Ta4Rh
_chemical_formula_sum 'Ta8 Rh2'
_cell_length_a 7.223
_cell_length_b 7.223
_cell_length_c 3.331
_cell_angle_alpha 90.00
_cell_angle_beta 90.00
_cell_angle_gamma 90.00
_symmetry_space_group_name_H-M 'I 4/m'
_symmetry_Int_Tables_number 87
_symmetry_space_group_name_Hall '-I 4'
loop_
_atom_site_label
_atom_site_type_symbol
_atom_site_fract_x
_atom_site_fract_y
_atom_site_fract_z
_atom_site_occupancy
Ta1 Ta 0.099 0.701 0.000 1
Rh1 Rh 0.000 0.000 0.500 1
```

Results
As for the excess energy over the best structure of this formula in the dataset: 0.000 eV per formula unit. The formation energy is -0.23 eV/atom. The value obtained for the total moment is 0.00 μB per formula unit. The mass density is 15.8 g cm⁻³.

---

[3]
YScCoBi2 | PBE-GGA | relaxed

Cell and atoms, written as CIF:
```
data_YScCoBi2
_chemical_formula_sum 'Y1 Sc1 Co1 Bi2'
_cell_length_a 5.761
_cell_length_b 5.761
_cell_length_c 5.434
_cell_angle_alpha 90.00
_cell_angle_beta 90.00
_cell_angle_gamma 90.00
_symmetry_space_group_name_H-M 'P 4/m m m'
_symmetry_Int_Tables_number 123
_symmetry_space_group_name_Hall '-P 4 2'
loop_
_atom_site_label
_atom_site_type_symbol
_atom_site_fract_x
_atom_site_fract_y
_atom_site_fract_z
_atom_site_occupancy
Y1 Y 0.000 0.000 0.000 1
Sc1 Sc 0.000 0.000 0.500 1
Co1 Co 0.500 0.500 0.500 1
Bi1 Bi 0.000 0.500 0.000 1
```

Results
The formation energy is 1.19 eV/atom. The value obtained for the total moment is 2.00 μB per formula unit. The mass density is 5.6 g cm⁻³.

---

Q: The highest total moment belongs to which entry?
A: YScCoBi2

---

What did the first record say?
CrN2 | PBE-GGA | relaxed

Cell and atoms, written as CIF:
```
data_CrN2
_chemical_formula_sum 'Cr16 N32'
_cell_length_a 7.798
_cell_length_b 13.433
_cell_length_c 7.783
_cell_angle_alpha 90.00
_cell_angle_beta 119.34
_cell_angle_gamma 90.00
_symmetry_space_group_name_H-M 'C 1 2/c 1'
_symmetry_Int_Tables_number 15
loop_
_symmetry_equiv_pos_as_xyz
'x,y,z'
'-x,-y,-z'
'-x,y,-z+1/2'
'x,-y,z+1/2'
'x+1/2,y+1/2,z'
'-x+1/2,-y+1/2,-z'
'-x+1/2,y+1/2,-z+1/2'
'x+1/2,-y+1/2,z+1/2'
loop_
_atom_site_label
_atom_site_type_symbol
_atom_site_fract_x
_atom_site_fract_y
_atom_site_fract_z
_atom_site_occupancy
Cr1 Cr 0.000 0.158 0.032 1
Cr2 Cr 0.144 0.394 0.075 1
N1 N 0.000 0.131 0.250 1
N2 N 0.000 0.500 0.000 1
N3 N 0.004 0.285 0.011 1
N4 N 0.206 0.110 0.673 1
N5 N 0.207 0.112 0.031 1
```

Results
The value obtained for the total moment is 0.00 μB per formula unit. The mass density is 3.0 g cm⁻³. Its total DFT energy (no corrections) is -8.6138 eV per atom.

---

Copy entry 2 word for word.
Ta4Rh | PBE-GGA | relaxed

Cell and atoms, written as CIF:
```
data_Ta4Rh
_chemical_formula_sum 'Ta8 Rh2'
_cell_length_a 7.223
_cell_length_b 7.223
_cell_length_c 3.331
_cell_angle_alpha 90.00
_cell_angle_beta 90.00
_cell_angle_gamma 90.00
_symmetry_space_group_name_H-M 'I 4/m'
_symmetry_Int_Tables_number 87
_symmetry_space_group_name_Hall '-I 4'
loop_
_atom_site_label
_atom_site_type_symbol
_atom_site_fract_x
_atom_site_fract_y
_atom_site_fract_z
_atom_site_occupancy
Ta1 Ta 0.099 0.701 0.000 1
Rh1 Rh 0.000 0.000 0.500 1
```

Results
As for the excess energy over the best structure of this formula in the dataset: 0.000 eV per formula unit. The formation energy is -0.23 eV/atom. The value obtained for the total moment is 0.00 μB per formula unit. The mass density is 15.8 g cm⁻³.

---

Q: Which of these has the highest total moment?
A: YScCoBi2